DFT (GGA-PBE) results for an optimized crystal structure of TiSiNi5.

abc: 3.6629 3.6629 6.3005
angles: 90.00 90.00 90.00
Last column: nearest neighbours and their distance in Å.
Fractional positions:
1 Ti 0.0000 0.0000 0.0000  12 Ni 2.55-2.59
2 Si 0.5000 0.5000 0.5000  8 Ni 2.29
3 Ni 0.0000 0.5000 0.2819  2 Si 2.29, 2 Ni 2.55, 2 Ti 2.55
4 Ni 0.0000 0.5000 0.7181  2 Si 2.29, 2 Ni 2.55, 2 Ti 2.55
5 Ni 0.5000 0.0000 0.2819  2 Si 2.29, 2 Ni 2.55, 2 Ti 2.55
6 Ni 0.5000 0.0000 0.7181  2 Si 2.29, 2 Ni 2.55, 2 Ti 2.55
7 Ni 0.5000 0.5000 0.0000  8 Ni 2.55, 4 Ti 2.59

Output
Total magnetic moment: 0.000 μB/atom
D(E_F): 0.192 states/eV/atom

DFT (GGA-PBE) results for an optimized crystal structure of TiSi2Ni4.

abc: 6.8412 6.8412 3.6636
angles: 90.00 90.00 90.00
Last column: nearest neighbours and their distance in Å.
Fractional positions:
1 Ti 0.0000 0.0000 0.0000  6 Si 2.72-2.80, 12 Ni 3.01-3.03
2 Ti 0.5000 0.5000 0.5000  6 Si 2.72-2.80, 12 Ni 3.01-3.03
3 Si 0.2188 0.2188 0.5000  6 Ni 2.27-2.29
4 Si 0.2812 0.7188 0.0000  6 Ni 2.27-2.29
5 Si 0.7188 0.2812 0.0000  6 Ni 2.27-2.29
6 Si 0.7812 0.7812 0.5000  6 Ni 2.27-2.29
7 Ni 0.0896 0.6587 0.5000  3 Si 2.27-2.29, 2 Ni 2.43-2.49
8 Ni 0.1587 0.4104 0.0000  3 Si 2.27-2.29, 2 Ni 2.43-2.49
9 Ni 0.3413 0.9104 0.5000  3 Si 2.27-2.29, 2 Ni 2.43-2.49
10 Ni 0.4104 0.1587 0.0000  3 Si 2.27-2.29, 2 Ni 2.43-2.49
11 Ni 0.5896 0.8413 0.0000  3 Si 2.27-2.29, 2 Ni 2.43-2.49
12 Ni 0.6587 0.0896 0.5000  3 Si 2.27-2.29, 2 Ni 2.43-2.49
13 Ni 0.8413 0.5896 0.0000  3 Si 2.27-2.29, 2 Ni 2.43-2.49
14 Ni 0.9104 0.3413 0.5000  3 Si 2.27-2.29, 2 Ni 2.43-2.49

Output
Total magnetic moment: 0.000 μB/atom
D(E_F): 1.005 states/eV/atom

DFT (GGA-PBE) results for an optimized crystal structure of TiSi2Ni.

abc: 4.2159 4.2159 4.2159
angles: 60.00 60.00 60.00
Last column: nearest neighbours and their distance in Å.
Fractional positions:
1 Ti 0.0000 0.0000 0.0000  8 Si 2.58
2 Si 0.2500 0.2500 0.2500  4 Ni 2.58, 4 Ti 2.58
3 Si 0.7500 0.7500 0.7500  4 Ni 2.58, 4 Ti 2.58
4 Ni 0.5000 0.5000 0.5000  8 Si 2.58

Output
Total magnetic moment: 0.186 μB/atom
D(E_F): 0.740 states/eV/atom

DFT (GGA-PBE) results for an optimized crystal structure of TiSi2Ni.

abc: 8.5045 8.5045 8.5045
angles: 155.17 155.17 35.40
Last column: nearest neighbours and their distance in Å.
Fractional positions:
1 Ti 0.1121 0.1121 0.0000  8 Si 2.58-2.71, 4 Ni 2.89
2 Ti 0.8879 0.8879 0.0000  8 Si 2.58-2.71, 4 Ni 2.89
3 Si 0.0000 0.5000 0.5000  4 Ti 2.58, 4 Si 2.59
4 Si 0.3378 0.3378 0.0000  4 Ni 2.32
5 Si 0.5000 0.0000 0.5000  4 Ti 2.58, 4 Si 2.59
6 Si 0.6622 0.6622 0.0000  4 Ni 2.32
7 Ni 0.2500 0.7500 0.5000  4 Si 2.32, 4 Ni 2.59
8 Ni 0.7500 0.2500 0.5000  4 Si 2.32, 4 Ni 2.59

Output
Total magnetic moment: 0.000 μB/atom
D(E_F): 0.534 states/eV/atom

DFT (GGA-PBE) results for an optimized crystal structure of Ti8SiNi2.

abc: 6.9726 6.9726 4.2719
angles: 99.27 99.27 117.57
Last column: nearest neighbours and their distance in Å.
Fractional positions:
1 Ti 0.0844 0.3068 0.5910  2 Ni 2.52-2.75, 2 Ti 2.65-2.69, 1 Si 2.81
2 Ti 0.2274 0.7726 0.0000  2 Ni 2.36
3 Ti 0.3068 0.0844 0.5910  2 Ni 2.52-2.75, 2 Ti 2.65-2.69, 1 Si 2.81
4 Ti 0.3872 0.3872 0.1887  2 Ni 2.60, 6 Ti 2.63-2.85, 1 Si 2.66
5 Ti 0.6128 0.6128 0.8113  2 Ni 2.60, 6 Ti 2.63-2.85, 1 Si 2.66
6 Ti 0.6932 0.9156 0.4090  2 Ni 2.52-2.75, 2 Ti 2.65-2.69, 1 Si 2.81
7 Ti 0.7726 0.2274 0.0000  2 Ni 2.36
8 Ti 0.9156 0.6932 0.4090  2 Ni 2.52-2.75, 2 Ti 2.65-2.69, 1 Si 2.81
9 Si 0.0000 0.0000 0.0000  12 Ti 2.66-2.89
10 Ni 0.3120 0.6880 0.5000  6 Ti 2.36-2.60
11 Ni 0.6880 0.3120 0.5000  6 Ti 2.36-2.60

Output
Total magnetic moment: 0.000 μB/atom
D(E_F): 1.037 states/eV/atom

DFT (GGA-PBE) results for an optimized crystal structure of TiSi2Ni.

abc: 8.6591 8.6591 8.6591
angles: 154.41 154.41 36.50
Last column: nearest neighbours and their distance in Å.
Fractional positions:
1 Ti 0.0000 0.0000 0.0000  4 Si 2.54, 4 Ni 2.71
2 Ti 0.7500 0.2500 0.5000  4 Si 2.54, 4 Ni 2.71
3 Si 0.1731 0.6250 0.0481  2 Ni 2.40, 2 Si 2.46, 2 Ti 2.54
4 Si 0.3750 0.4231 0.5481  2 Ni 2.40, 2 Si 2.46, 2 Ti 2.54
5 Si 0.5769 0.1250 0.9519  2 Ni 2.40, 2 Si 2.46, 2 Ti 2.54
6 Si 0.8750 0.8269 0.4519  2 Ni 2.40, 2 Si 2.46, 2 Ti 2.54
7 Ni 0.2500 0.7500 0.5000  4 Si 2.40
8 Ni 0.5000 0.5000 0.0000  4 Si 2.40

Output
Total magnetic moment: 0.000 μB/atom
D(E_F): 0.845 states/eV/atom

no.,raw total energy (eV per atom)
1,-6.4818
2,-6.5446
3,-6.3529
4,-6.6509
5,-7.4753
6,-6.2300